Compound: KCdSN2
Source: the Alexandria database
Functional: GGA-PBE
Structure: optimized geometry

abc: 4.8311 4.8311 6.1213
angles: 90.00 90.00 90.00
Sites, in units of the cell vectors:
N: 0.5000 0.0000 0.0000
S: 0.0000 0.0000 0.5000
N: 0.0000 0.5000 0.0000
Cd: 0.5000 0.5000 0.5000
K: 0.0000 0.0000 0.0000

Summary:
Density of states at the Fermi level ... 0.35 states/eV per atom
ΔE_f (raw) ... 1.99 eV/atom
Crystal system ... tetragonal
Total DFT energy (no corrections) ... -2.565 eV/atom
SG ... No. 123